(1)
An optimized crystal structure of Cs3ThBr6, computed with PBE-GGA.

Summary:
- energy relative to the elements, uncorrected (kJ per mole of atoms) = -160.6
- volume (Å³/f.u.) = 487.5
- magnetization (μB/f.u.) = 0.90

Structure (extended XYZ):
```
10
Lattice="-9.0986 -0.9914 -0.4122 -3.4787 -7.8368 1.2788 -4.4048 -1.8173 7.2420" Properties=species:S:1:pos:R:3 pbc="T T T"
Cs -4.4201 -2.6007 1.9388
Cs -12.5620 -8.0448 6.1699
Cs 0.0000 0.0000 0.0000
Th -8.4910 -5.3227 4.0543
Br -6.7471 -3.0912 4.8767
Br -10.6612 -4.7833 5.9770
Br -10.2349 -7.5543 3.2319
Br -6.3208 -5.8621 2.1316
Br -7.1768 -7.0619 6.0139
Br -9.8052 -3.5836 2.0947
```

=====

(2)
An optimized crystal structure of Na2AgPb2, computed with PBE-GGA.

Summary:
- relative energy among the computed polymorphs (eV/atom) = 0.000
- volume (Å³/f.u.) = 140.1
- formation enthalpy at 0 K (meV per atom) = -65
- magnetization (μB/f.u.) = 0.00

Structure (extended XYZ):
```
10
Lattice="5.0982 0.0000 0.0000 2.5491 5.6525 0.4086 2.5491 1.5758 9.8340" Properties=species:S:1:pos:R:3 pbc="T T T"
Na 2.5491 1.5690 0.8330
Na 5.0982 2.5475 6.4770
Na 7.6473 5.6594 9.4096
Na 5.0982 4.6809 3.7656
Ag 5.0982 1.2446 3.2859
Ag 5.0982 5.9838 6.9568
Pb 7.6473 2.4343 8.5429
Pb 2.5491 2.3784 4.1219
Pb 2.5491 4.7941 1.6997
Pb 7.6473 4.8499 6.1207
```

=====

(3)
An optimized crystal structure of AlTl2Au, computed with PBE-GGA.

Summary:
- relative energy among the computed polymorphs (eV/atom) = 0.270
- volume (Å³/f.u.) = 97.3
- formation enthalpy at 0 K (meV per atom) = 216
- magnetization (μB/f.u.) = 0.00

Structure (extended XYZ):
```
4
Lattice="5.1630 0.0000 0.0000 2.5815 4.4713 0.0000 2.5815 1.4904 4.2156" Properties=species:S:1:pos:R:3 pbc="T T T"
Tl 0.0000 0.0000 0.0000
Tl 2.5815 1.4904 1.0539
Au 7.7445 4.4713 3.1617
Al 5.1630 2.9808 2.1078
```

=====

(4)
An optimized crystal structure of MnTeS2, computed with PBE-GGA.

Summary:
- energy relative to the elements, uncorrected (kJ per mole of atoms) = -27.1
- volume (Å³/f.u.) = 96.9
- magnetization (μB/f.u.) = 0.66

Structure (extended XYZ):
```
8
Lattice="8.2468 0.0166 0.0211 -0.0251 3.2628 0.0350 1.3448 0.2712 7.2115" Properties=species:S:1:pos:R:3 pbc="T T T"
S 8.6467 1.0234 6.0468
S 0.6589 1.1125 2.8938
S 7.0087 3.3567 5.2630
S 3.0526 2.7286 4.9346
Mn 0.9256 2.7148 4.4731
Mn 2.7410 1.1166 3.4775
Te 5.3130 1.1214 2.8275
Te 3.3357 1.2316 0.9104
```

=====

(5)
An optimized crystal structure of Dy5Cu2Pt, computed with PBE-GGA.

Summary:
- volume (Å³/f.u.) = 191.4
- formation enthalpy at 0 K (meV per atom) = -452
- magnetization (μB/f.u.) = 0.00

Structure (extended XYZ):
```
16
Lattice="6.3673 0.0000 -3.0057 -1.4189 6.2072 -3.0057 0.4309 0.5405 9.1600" Properties=species:S:1:pos:R:3 pbc="T T T"
Dy 2.6783 4.5748 2.8049
Dy 3.9907 6.2210 -2.6621
Dy 0.0000 0.0000 0.0000
Dy 2.4742 3.1036 -3.0057
Dy 1.3887 0.5268 5.8107
Dy 4.3565 1.4712 3.8505
Dy -0.2895 3.6304 4.7651
Dy 1.0229 5.2766 -0.7019
Dy 5.6689 3.1174 -1.6165
Dy 2.7011 2.1730 0.3436
Cu 0.2457 2.3422 -1.5029
Cu 3.7907 0.7614 -2.2403
Cu 1.1578 5.4458 -3.7712
Cu 4.7028 3.8650 -4.5086
Pt 3.9268 4.9257 0.0714
Pt 1.4526 1.8221 3.0772
```

=====

(6)
An optimized crystal structure of Pr3ErTh4Se8, computed with PBE-GGA.

Summary:
- energy relative to the elements, uncorrected (kJ per mole of atoms) = -160.4
- volume (Å³/f.u.) = 420.6
- magnetization (μB/f.u.) = 0.00

Structure (extended XYZ):
```
16
Lattice="8.3103 0.0000 0.0000 0.0000 8.5123 0.1375 -4.1551 -4.1499 5.8789" Properties=species:S:1:pos:R:3 pbc="T T T"
Pr 4.1551 4.2561 0.0687
Pr 2.0776 2.1812 3.0082
Pr -2.0776 2.1812 3.0082
Er 0.0000 4.2561 0.0687
Th 4.1551 0.0000 0.0000
Th 2.0776 -2.0749 2.9394
Th 0.0000 0.0000 0.0000
Th -2.0776 -2.0749 2.9394
Se 2.0224 6.3339 0.1091
Se 0.0000 4.3129 2.9618
Se 0.0000 0.0490 2.9685
Se 6.2878 6.3339 0.1091
Se -2.1327 -1.9715 5.9073
Se 4.1551 4.3134 3.0479
Se 4.1551 0.0495 3.0545
Se 2.1327 -1.9715 5.9073
```

=====

(7)
An optimized crystal structure of TaCoTeC2, computed with PBE-GGA.

Summary:
- energy relative to the elements, uncorrected (kJ per mole of atoms) = 160.7
- volume (Å³/f.u.) = 85.3
- magnetization (μB/f.u.) = 1.43

Structure (extended XYZ):
```
5
Lattice="-1.2945 1.7436 -3.5033 1.7546 -3.9234 -2.6010 -3.6388 -1.8939 0.4020" Properties=species:S:1:pos:R:3 pbc="T T T"
C -1.8194 -0.9469 0.2010
C -0.6473 0.8718 -1.7517
Te -1.5894 -2.0368 -2.8512
Co 0.8773 -1.9617 -1.3005
Ta 0.0000 0.0000 0.0000
```

=====

(8)
An optimized crystal structure of ScGeSeN2, computed with PBE-GGA.

Summary:
- relative energy among the computed polymorphs (eV/atom) = 0.227
- energy relative to the elements, uncorrected (kJ per mole of atoms) = 55.8
- volume (Å³/f.u.) = 93.1
- magnetization (μB/f.u.) = 0.75

Structure (extended XYZ):
```
5
Lattice="4.0821 0.0000 0.0000 0.0000 4.0821 0.0000 0.0000 0.0000 5.5879" Properties=species:S:1:pos:R:3 pbc="T T T"
Sc 0.0000 0.0000 0.0000
Ge 2.0410 2.0410 2.7940
Se 0.0000 0.0000 2.7940
N 0.0000 2.0410 0.0000
N 2.0410 0.0000 0.0000
```

=====

(9)
An optimized crystal structure of CaTm2ThBi4, computed with PBE-GGA.

Summary:
- volume (Å³/f.u.) = 261.9
- formation enthalpy at 0 K (meV per atom) = -754
- magnetization (μB/f.u.) = 0.00

Structure (extended XYZ):
```
8
Lattice="-2.0825 -2.4262 -3.2169 1.3576 -6.5395 4.0533 -6.8883 3.0134 2.1866" Properties=species:S:1:pos:R:3 pbc="T T T"
Ca -0.3625 -4.4829 0.4182
Tm -4.4854 0.2936 -0.5151
Tm -2.7653 -1.7631 3.1200
Th 0.0000 0.0000 0.0000
Bi -2.4877 -2.0919 -0.0093
Bi -5.1255 -3.8605 3.0323
Bi -4.7639 0.6242 2.6132
Bi -0.7668 -4.1504 3.6267
```

=====

(10)
An optimized crystal structure of LiErHfZn, computed with PBE-GGA.

Summary:
- volume (Å³/f.u.) = 80.8
- formation enthalpy at 0 K (meV per atom) = 46
- magnetization (μB/f.u.) = 0.00

Structure (extended XYZ):
```
4
Lattice="4.8531 0.0000 0.0000 2.4266 4.2029 0.0000 2.4266 1.4010 3.9626" Properties=species:S:1:pos:R:3 pbc="T T T"
Zn 0.0000 0.0000 0.0000
Li 4.8531 2.8020 1.9813
Hf 2.4266 1.4010 0.9906
Er 7.2797 4.2029 2.9719
```

=====

(11)
An optimized crystal structure of LaZr2Ru2, computed with PBE-GGA.

Summary:
- relative energy among the computed polymorphs (eV/atom) = 0.000
- volume (Å³/f.u.) = 104.9
- formation enthalpy at 0 K (meV per atom) = -247
- magnetization (μB/f.u.) = 0.00

Structure (extended XYZ):
```
10
Lattice="7.9981 0.0000 0.0000 0.0000 7.9981 0.0000 0.0000 0.0000 3.2806" Properties=species:S:1:pos:R:3 pbc="T T T"
Ru 2.8287 6.8278 0.0000
Ru 6.8278 5.1694 0.0000
Ru 5.1694 1.1703 0.0000
Ru 1.1703 2.8287 0.0000
Zr 1.1421 5.1411 1.6403
Zr 5.1411 6.8561 1.6403
Zr 6.8561 2.8570 1.6403
Zr 2.8570 1.1421 1.6403
La 0.0000 0.0000 0.0000
La 3.9991 3.9991 0.0000
```

=====

(12)
An optimized crystal structure of LaNiP2Ru, computed with PBE-GGA.

Summary:
- relative energy among the computed polymorphs (eV/atom) = 1.247
- volume (Å³/f.u.) = 94.6
- formation enthalpy at 0 K (meV per atom) = 287
- magnetization (μB/f.u.) = 0.00

Structure (extended XYZ):
```
5
Lattice="-0.4276 -2.9564 -3.1404 4.8503 -1.2539 0.5200 -1.0871 -2.9801 2.9535" Properties=species:S:1:pos:R:3 pbc="T T T"
Ru 1.6678 -3.5952 0.1665
Ni 0.0000 0.0000 0.0000
P -0.5435 -1.4900 1.4767
P -0.2138 -1.4782 -1.5702
La 2.4251 -0.6269 0.2600
```

=====

Question: Look up the volume of the first one.
Answer: 487.5 Å³/f.u.